VASP calculation (PBE-GGA) on crystalline Sm4YTm2 at its relaxed geometry.

The structure belongs to space group P2_1/m (No. 11); the cell edges are 6.2339, 6.5719 and 11.5107 Å and the angles 90.00°, 104.95° and 90.00°. The distinct sites, in fractional coordinates, are Sm at (0.0422, 0.2500, 0.3632), Sm at (0.1478, 0.2500, 0.9512), Sm at (0.3491, 0.5089, 0.2142), Y at (0.1548, 0.2500, 0.6640), Tm at (0.2917, 0.7500, 0.9230) and Tm at (0.3896, 0.7500, 0.5059).

As for the formation energy: 2.969 kcal/mol of atoms. Its distance to the lowest polymorph of the same formula is 76 meV per atom.